1.
# Ba2HgAs2 | OQMD via LeMat-Bulk | GGA-PBE | optimized geometry
data_Ba2HgAs2
_space_group_name_H-M_alt 'P 4/m b m'
_space_group_IT_number 127
_space_group_name_Hall '-P 4 2ab'
_cell_length_a 8.418
_cell_length_b 8.418
_cell_length_c 4.580
_cell_angle_alpha 90.00
_cell_angle_beta 90.00
_cell_angle_gamma 90.00
loop_
_atom_site_label
_atom_site_fract_x
_atom_site_fract_y
_atom_site_fract_z
Ba1 0.184 0.316 0.000
Hg1 0.000 0.000 0.500
As1 0.104 0.604 0.500
# E_tot: -3.55 eV per atom

---

2.
# BaHoHgAs2 | OQMD via LeMat-Bulk | GGA-PBE | optimized geometry
data_BaHoHgAs2
_space_group_name_H-M_alt 'C m c 21'
_space_group_IT_number 36
_cell_length_a 4.267
_cell_length_b 18.219
_cell_length_c 7.307
_cell_angle_alpha 90.00
_cell_angle_beta 90.00
_cell_angle_gamma 90.00
loop_
_space_group_symop_operation_xyz
'x,y,z'
'-x,-y,z+1/2'
'-x,y,z'
'x,-y,z+1/2'
'x+1/2,y+1/2,z'
'-x+1/2,-y+1/2,z+1/2'
'-x+1/2,y+1/2,z'
'x+1/2,-y+1/2,z+1/2'
loop_
_atom_site_label
_atom_site_fract_x
_atom_site_fract_y
_atom_site_fract_z
Ba1 0.000 0.194 0.000
Ho1 0.000 0.022 0.670
Hg1 0.000 0.389 0.846
As1 0.000 0.169 0.536
As2 0.000 0.459 0.445
# M_tot: 0.0 μB/f.u.
# E_tot: -4.10 eV per atom

---

3.
# BaHgAsO | OQMD via LeMat-Bulk | GGA-PBE | optimized geometry
data_BaHgAsO
_space_group_name_H-M_alt 'P m c 21'
_space_group_IT_number 26
_cell_length_a 3.986
_cell_length_b 7.862
_cell_length_c 6.239
_cell_angle_alpha 90.00
_cell_angle_beta 90.00
_cell_angle_gamma 90.00
loop_
_space_group_symop_operation_xyz
'x,y,z'
'-x,-y,z+1/2'
'-x,y,z'
'x,-y,z+1/2'
loop_
_atom_site_label
_atom_site_fract_x
_atom_site_fract_y
_atom_site_fract_z
Ba1 0.000 0.123 0.000
Hg1 0.500 0.285 0.481
As1 0.000 0.470 0.632
O1 0.500 0.049 0.278
# ΔE to the lowest computed polymorph: 0 meV per atom
# E_tot: -3.97 eV per atom

---

4.
# BaHgAsO | OQMD via LeMat-Bulk | GGA-PBE | optimized geometry
data_BaHgAsO
_space_group_name_H-M_alt 'P 4/n m m'
_space_group_IT_number 129
_cell_length_a 6.676
_cell_length_b 6.676
_cell_length_c 4.983
_cell_angle_alpha 90.00
_cell_angle_beta 90.00
_cell_angle_gamma 90.00
loop_
_space_group_symop_operation_xyz
'x,y,z'
'-x,-y,-z'
'-y+1/2,x,z'
'y+1/2,-x,-z'
'-x+1/2,-y+1/2,z'
'x+1/2,y+1/2,-z'
'y,-x+1/2,z'
'-y,x+1/2,-z'
'x+1/2,-y,-z'
'-x+1/2,y,z'
'-y,-x,-z'
'y,x,z'
'-x,y+1/2,-z'
'x,-y+1/2,z'
'y+1/2,x+1/2,-z'
'-y+1/2,-x+1/2,z'
loop_
_atom_site_label
_atom_site_fract_x
_atom_site_fract_y
_atom_site_fract_z
Ba1 0.250 0.750 0.000
Hg1 0.250 0.250 0.494
As1 0.250 0.250 0.994
O1 0.250 0.750 0.500
# ΔE to the lowest computed polymorph: 483 meV per atom
# E_tot: -3.49 eV per atom